Below is a relaxed structure of Li4CoO3, with properties calculated at the PBE with a Hubbard U level.

raw total energy	-5.08	eV/atom
DOS at the Fermi energy	0.0	states/eV per cell

Cell lengths 10.0086, 5.0983, 6.9313 Å; angles 90.00, 111.62, 90.00 degrees
Last column: nearest neighbours and their distance in Å.
Space group Cc (No. 9)
One atom of each set of equivalent atoms:
Li (0.0000, 0.1460, 0.0000)  3 O 1.90-1.95
Li (0.1099, 0.3461, 0.7073)  4 O 1.97-2.09
Li (0.1887, 0.2130, 0.4062)  4 O 2.02-2.09
Li (0.2553, 0.3439, 0.0960)  4 O 1.98-2.11
Co (0.3710, 0.1402, 0.8204)  3 O 1.82-1.91
O (0.0486, 0.4914, 0.9244)  1 Co 1.82, 3 Li 1.95-2.01
O (0.1855, 0.0021, 0.6589)  1 Co 1.91, 5 Li 1.93-2.07
O (0.3177, 0.4817, 0.8710)  1 Co 1.89, 5 Li 1.90-2.09